# Th2PaNiN5

Th2PaNiN5 after structural relaxation (PBE, the Alexandria database).

Lattice parameters (Å, degrees): 3.533 13.472 10.662 90.00 90.00 90.00
Space group Cmc2_1 (No. 36)
Symmetry-distinct sites (fractional):
1 Th 0.000 0.100 0.000
2 Th 0.000 0.135 0.623
3 Pa 0.000 0.197 0.326
4 Ni 0.000 0.481 0.765
5 N 0.000 0.045 0.375
6 N 0.000 0.280 0.975
7 N 0.000 0.333 0.689
8 N 0.000 0.368 0.308
9 N 0.000 0.485 0.089

## Properties
E	-9.11	eV per atom
M_tot	0.00	μB per formula unit